# 1
Density functional theory data (PBE) for a geometry-optimized SrSb2RuBr structure.

Structure (extended XYZ):
```
5
Lattice="-4.309 0.148 2.470 -3.138 -1.680 -5.373 0.521 -4.794 1.195" Properties=species:S:1:pos:R:3 pbc="T T T"
Sb 0.260 -2.397 0.598
Sb -2.154 0.074 1.235
Br -3.463 -3.163 -0.854
Sr -1.569 -0.840 -2.686
Ru 0.000 0.000 0.000
```

Values from the calculation:
As for the uncorrected formation energy: -0.456 eV per atom. As for the total magnetization: 0.017 μB/cell. As for the density of states at the Fermi level: 4.27 states/eV/f.u. As for the density: 5.34 Mg/m³.



# 2
Density functional theory data (PBE) for a geometry-optimized SbTe2RuBr structure.

Structure (extended XYZ):
```
5
Lattice="-4.985 1.898 -1.068 -0.923 -4.257 -3.258 -1.942 -2.760 4.157" Properties=species:S:1:pos:R:3 pbc="T T T"
Sb -0.971 -1.380 2.078
Te -0.462 -2.129 -1.629
Te -2.492 0.949 -0.534
Br 0.000 0.000 0.000
Ru -3.925 -2.560 -0.085
```

Values from the calculation:
As for the uncorrected formation energy: 1.610 eV per atom. As for the total magnetization: 2.216 μB/cell. As for the density of states at the Fermi level: 9.26 states/eV/f.u. As for the energy above the most stable polymorph in this dataset: 1248.8 meV per atom. As for the density: 5.85 Mg/m³.